No. 1
# Ba2AlFe2O6 PBE with a Hubbard U optimized geometry
data_Ba2AlFe2O6
_cell_length_a 5.8762
_cell_length_b 5.8762
_cell_length_c 16.0354
_cell_angle_alpha 90.00
_cell_angle_beta 90.00
_cell_angle_gamma 120.00
_space_group_name_H-M_alt 'R -3 m'
_space_group_IT_number 166
_space_group_name_Hall '-R 3 2"'
loop_
_atom_site_label
_atom_site_fract_x
_atom_site_fract_y
_atom_site_fract_z
Ba1 0.0000 0.0000 0.2203
Al1 0.0000 0.0000 0.0000
Fe1 0.0000 0.0000 0.4207
O1 0.0272 0.5136 0.7410
# - Raw total energy: -6.55 eV/atom

No. 2
# BaAlFe4O7 PBE with a Hubbard U optimized geometry
data_BaAlFe4O7
_cell_length_a 6.0159
_cell_length_b 6.0159
_cell_length_c 10.3987
_cell_angle_alpha 90.00
_cell_angle_beta 90.00
_cell_angle_gamma 120.00
_space_group_name_H-M_alt 'P 63 m c'
_space_group_IT_number 186
_space_group_name_Hall 'P 6c -2c'
loop_
_atom_site_label
_atom_site_fract_x
_atom_site_fract_y
_atom_site_fract_z
Ba1 0.3333 0.6667 0.0000
Al1 0.3333 0.6667 0.3862
Fe1 0.0000 0.0000 0.4340
Fe2 0.1900 0.3799 0.6922
O1 0.0000 0.0000 0.2494
O2 0.0216 0.5108 0.2911
O3 0.1735 0.3469 0.5012
# - Raw total energy: -6.61 eV/atom

No. 3
# Ba2AlTlFe2O7 PBE with a Hubbard U optimized geometry
data_Ba2AlTlFe2O7
_cell_length_a 3.8591
_cell_length_b 3.8591
_cell_length_c 12.8190
_cell_angle_alpha 90.00
_cell_angle_beta 90.00
_cell_angle_gamma 90.00
_space_group_name_H-M_alt 'P 4/m m m'
_space_group_IT_number 123
_space_group_name_Hall '-P 4 2'
loop_
_atom_site_label
_atom_site_fract_x
_atom_site_fract_y
_atom_site_fract_z
Ba1 0.0000 0.0000 0.2054
Al1 0.0000 0.0000 0.5000
Tl1 0.5000 0.5000 0.0000
Fe1 0.5000 0.5000 0.3816
O1 0.0000 0.0000 0.0000
O2 0.0000 0.5000 0.4018
O3 0.5000 0.5000 0.1739
# - Offset from the most stable computed form: 165 meV per atom

No. 4
# Ba2AlTlFe2O7 PBE with a Hubbard U optimized geometry
data_Ba2AlTlFe2O7
_cell_length_a 3.9848
_cell_length_b 4.2605
_cell_length_c 11.8566
_cell_angle_alpha 86.32
_cell_angle_beta 81.75
_cell_angle_gamma 86.18
_space_group_name_H-M_alt 'P 1'
_space_group_IT_number 1
_space_group_name_Hall 'P 1'
loop_
_atom_site_label
_atom_site_fract_x
_atom_site_fract_y
_atom_site_fract_z
Ba1 0.0000 0.0000 0.0000
Ba2 0.2063 0.0728 0.5669
Al1 0.1037 0.0282 0.2839
Tl1 0.6045 0.5935 0.7829
Fe1 0.4686 0.4790 0.1687
Fe2 0.7382 0.5784 0.3999
O1 0.0792 0.8794 0.7824
O2 0.2590 0.6603 0.3668
O3 0.4237 0.9659 0.1624
O4 0.5206 0.4808 0.9644
O5 0.6659 0.5284 0.6018
O6 0.7827 0.0905 0.4049
O7 0.9480 0.3998 0.2024
# - Offset from the most stable computed form: 0 meV per atom